A plane-wave DFT calculation with GGA-PBE was carried out for a geometry-optimized Cs2Rb4S structure.

Unit cell a=6.543 b=6.543 c=14.770 alpha=77.20 beta=77.20 gamma=90.00
Atoms (fractional coordinates):
Cs (0.305, 0.305, 0.391)
Cs (0.695, 0.695, 0.609)
S (0.000, 0.000, 0.000)
Rb (0.113, 0.113, 0.774)
Rb (0.000, 0.500, 0.000)
Rb (0.887, 0.887, 0.226)
Rb (0.500, 0.000, 0.000)

M_tot: 0.000 μB per atom
Space group: No. 139
Calculated total energy: -1.766 eV per atom